## 1
VASP calculation (PBE-GGA) on an optimized crystal structure of NaVAs2Br.

POSCAR file:
```
NaVAs2Br
1.0
-3.498 0.888 -2.971
-3.081 -0.482 3.482
0.444 5.716 1.185
V Br As Na
1 1 2 1
Direct
0.000 0.000 0.000
0.000 0.000 0.500
0.500 0.000 0.000
0.000 0.500 0.000
0.500 0.500 0.500
```

## Properties
total magnetic moment: 0.63 μB per cell
DOS(E_F): 2.36 states/eV per cell
calculated volume: 128 Å³/cell

***

## 2
VASP calculation (PBE-GGA) on an optimized crystal structure of NaVAs2Br.

POSCAR file:
```
NaVAs2Br
1.0
4.998 0.000 0.000
0.000 4.998 0.000
0.000 0.000 5.240
Br As V Na
1 2 1 1
Direct
0.000 0.000 0.500
0.000 0.500 0.000
0.500 0.000 0.000
0.500 0.500 0.500
0.000 0.000 0.000
```

## Properties
total magnetic moment: 2.26 μB per cell
DOS(E_F): 7.83 states/eV per cell
calculated volume: 131 Å³/cell

***

Best to worst by energy: 1, 2.

***

## 1
VASP calculation (PBE-GGA) on an optimized crystal structure of NaZnAsBr2.

POSCAR file:
```
NaZnAsBr2
1.0
-0.441 5.554 0.132
-5.556 -0.440 -0.056
-0.040 -0.118 4.840
Na As Zn Br
1 1 1 2
Direct
0.500 0.500 0.500
0.000 0.000 0.500
0.000 0.000 0.000
0.000 0.500 0.000
0.500 0.000 0.000
```

## Properties
total magnetic moment: 1.94 μB per cell
DOS(E_F): 1.14 states/eV per cell
calculated volume: 150 Å³/cell

***

## 2
VASP calculation (PBE-GGA) on an optimized crystal structure of NaZnAsBr2.

POSCAR file:
```
NaZnAsBr2
1.0
-5.005 -1.210 -1.470
1.775 -4.459 -2.375
-0.755 -2.971 5.015
Zn Br Na As
1 2 1 1
Direct
0.500 0.500 0.500
0.500 0.000 0.000
0.000 0.500 0.000
0.000 0.000 0.000
0.000 0.000 0.500
```

## Properties
total magnetic moment: 2.24 μB per cell
DOS(E_F): 4.02 states/eV per cell
calculated volume: 169 Å³/cell

***

Best to worst by energy: 1, 2.

***

## 1
VASP calculation (PBE-GGA) on an optimized crystal structure of Nb2AsBr.

POSCAR file:
```
Nb2AsBr
1.0
0.000 3.265 3.265
3.265 0.000 3.265
3.265 3.265 0.000
Nb As Br
2 1 1
Direct
0.250 0.250 0.250
0.750 0.750 0.750
0.000 0.000 0.000
0.500 0.500 0.500
```

## Properties
total magnetic moment: 1.16 μB per cell
DOS(E_F): 4.97 states/eV per cell
calculated volume: 70 Å³/cell

***

## 2
VASP calculation (PBE-GGA) on an optimized crystal structure of Nb2AsBr.

POSCAR file:
```
Nb2AsBr
1.0
-3.509 5.577 -3.086
0.752 -3.136 -6.522
-4.094 -0.266 -4.402
Br As Nb
2 2 4
Direct
0.750 0.250 0.500
0.000 0.000 0.000
0.500 0.500 0.000
0.250 0.750 0.500
0.160 0.625 0.250
0.590 0.125 0.250
0.875 0.840 0.750
0.375 0.410 0.750
```

## Properties
total magnetic moment: 0.00 μB per cell
DOS(E_F): 7.89 states/eV per cell
calculated volume: 165 Å³/cell

***

Best to worst by energy: 1, 2.

***

## 1
VASP calculation (PBE-GGA) on an optimized crystal structure of NbAs3Br.

POSCAR file:
```
NbAs3Br
1.0
4.904 0.000 0.000
0.000 4.904 0.000
0.000 0.000 4.904
As Nb Br
3 1 1
Direct
0.000 0.500 0.000
0.500 0.000 0.000
0.000 0.000 0.500
0.500 0.500 0.500
0.000 0.000 0.000
```

## Properties
total magnetic moment: 0.00 μB per cell
DOS(E_F): 10.76 states/eV per cell
calculated volume: 118 Å³/cell

***

## 2
VASP calculation (PBE-GGA) on an optimized crystal structure of NbAs3Br.

POSCAR file:
```
NbAs3Br
1.0
5.018 0.000 0.000
0.000 5.018 0.000
0.000 0.000 5.018
As Br Nb
3 1 1
Direct
0.500 0.000 0.000
0.000 0.500 0.000
0.000 0.000 0.500
0.500 0.500 0.500
0.000 0.000 0.000
```

## Properties
total magnetic moment: 0.00 μB per cell
DOS(E_F): 3.55 states/eV per cell
calculated volume: 126 Å³/cell

***

Best to worst by energy: 2, 1.

***

## 1
VASP calculation (PBE-GGA) on an optimized crystal structure of NbAs2Br.

POSCAR file:
```
NbAs2Br
1.0
-4.291 1.696 4.338
-1.359 -6.097 1.040
1.498 -2.420 7.050
Br As Nb
2 4 2
Direct
0.500 0.500 0.000
0.250 0.750 0.500
0.700 0.125 0.250
0.875 0.950 0.750
0.050 0.625 0.250
0.375 0.300 0.750
0.750 0.250 0.500
0.000 0.000 0.000
```

## Properties
total magnetic moment: 0.00 μB per cell
DOS(E_F): 3.35 states/eV per cell
calculated volume: 246 Å³/cell

***

## 2
VASP calculation (PBE-GGA) on an optimized crystal structure of NbAs2Br.

POSCAR file:
```
NbAs2Br
1.0
-4.370 -1.285 1.487
-3.460 3.290 0.394
-3.672 -0.005 -3.077
As Br Nb
2 1 1
Direct
0.250 0.250 0.250
0.750 0.750 0.750
0.000 0.000 0.000
0.500 0.500 0.500
```

## Properties
total magnetic moment: 0.00 μB per cell
DOS(E_F): 4.83 states/eV per cell
calculated volume: 78 Å³/cell

***

Best to worst by energy: 1, 2.

***

## 1
VASP calculation (PBE-GGA) on an optimized crystal structure of NbAsBr2.

POSCAR file:
```
NbAsBr2
1.0
1.864 0.000 11.542
-0.932 1.615 11.542
-0.932 -1.615 11.542
Nb As Br
1 1 2
Direct
0.500 0.500 0.500
0.000 0.000 0.000
0.111 0.111 0.111
0.889 0.889 0.889
```

## Properties
total magnetic moment: 0.00 μB per cell
DOS(E_F): 3.23 states/eV per cell
calculated volume: 104 Å³/cell

***

## 2
VASP calculation (PBE-GGA) on an optimized crystal structure of NbAsBr2.

POSCAR file:
```
NbAsBr2
1.0
9.578 0.000 0.000
0.000 9.578 0.000
4.789 4.789 2.508
Br As Nb
4 2 2
Direct
0.375 0.231 0.750
0.981 0.625 0.250
0.769 0.125 0.250
0.875 0.019 0.750
0.500 0.500 0.000
0.250 0.750 0.500
0.750 0.250 0.500
0.000 0.000 0.000
```

## Properties
total magnetic moment: 0.35 μB per cell
DOS(E_F): 7.90 states/eV per cell
calculated volume: 230 Å³/cell

***

Best to worst by energy: 2, 1.